CdGeIN2 PBE relaxed; SG = P4/mmm; ρ = 4.578 g cm⁻³; relative energy among the computed polymorphs = 0.522 eV per atom; total moment = 0.54 μB/atom; uncorrected energy = -3.063 eV/atom; formation energy (no corrections) = 1.684 eV/atom
1.0
4.417 0.000 0.000
0.000 4.417 0.000
0.000 0.000 6.321
Cd Ge I N
1 1 1 2
Direct
0.000 0.000 0.000
0.500 0.500 0.500
0.000 0.000 0.500
0.000 0.500 0.000
0.500 0.000 0.000